# Mg2NiHgH | the Alexandria database | PBE | relaxed
# * D(E_F): 2.307 states/eV/cell
# * DFT total energy: -2.69 eV/atom
# * total magnetic moment: 0.000 μB/atom
data_Mg2NiHgH
_chemical_formula_sum 'Mg2 Ni1 Hg1 H1'
_cell_length_a 4.591
_cell_length_b 4.591
_cell_length_c 3.405
_cell_angle_alpha 90.00
_cell_angle_beta 90.00
_cell_angle_gamma 90.00
_space_group_name_H-M_alt 'P 4/m m m'
_space_group_IT_number 123
_space_group_name_Hall '-P 4 2'
loop_
_atom_site_label
_atom_site_type_symbol
_atom_site_fract_x
_atom_site_fract_y
_atom_site_fract_z
Mg1 Mg 0.000 0.500 0.000
Ni1 Ni 0.000 0.000 0.500
Hg1 Hg 0.500 0.500 0.500
H1 H 0.000 0.000 0.000

***

# Ho2Er4Zr | the Alexandria database | PBE | relaxed
# * D(E_F): 22.197 states/eV/cell
# * DFT total energy: -5.11 eV/atom
# * formation energy from the elements: 0.2 eV/f.u.
# * total magnetic moment: 0.022 μB/atom
data_Ho2Er4Zr
_chemical_formula_sum 'Ho4 Er8 Zr2'
_cell_length_a 6.083
_cell_length_b 3.512
_cell_length_c 19.486
_cell_angle_alpha 90.00
_cell_angle_beta 95.96
_cell_angle_gamma 90.00
_space_group_name_H-M_alt 'C 1 m 1'
_space_group_IT_number 8
loop_
_space_group_symop_operation_xyz
'x,y,z'
'x,-y,z'
'x+1/2,y+1/2,z'
'x+1/2,-y+1/2,z'
loop_
_atom_site_label
_atom_site_type_symbol
_atom_site_fract_x
_atom_site_fract_y
_atom_site_fract_z
Ho1 Ho 0.000 0.000 0.000
Ho2 Ho 0.097 0.000 0.292
Er1 Er 0.196 0.000 0.585
Er2 Er 0.214 0.500 0.145
Er3 Er 0.285 0.000 0.851
Er4 Er 0.313 0.500 0.437
Zr1 Zr 0.407 0.500 0.718

***

# VGa2W | the Alexandria database | PBE | relaxed
# * D(E_F): 15.620 states/eV/cell
# * energy relative to the lowest polymorph listed for this composition: 0.179 eV/atom
# * DFT total energy: -6.81 eV/atom
# * formation energy from the elements: 0.9 eV/f.u.
# * total magnetic moment: 0.243 μB/atom
data_VGa2W
_chemical_formula_sum 'V4 Ga8 W4'
_cell_length_a 6.218
_cell_length_b 6.218
_cell_length_c 6.218
_cell_angle_alpha 90.00
_cell_angle_beta 90.00
_cell_angle_gamma 90.00
_space_group_name_H-M_alt 'F m -3 m'
_space_group_IT_number 225
_space_group_name_Hall '-F 4 2 3'
loop_
_atom_site_label
_atom_site_type_symbol
_atom_site_fract_x
_atom_site_fract_y
_atom_site_fract_z
V1 V 0.000 0.000 0.000
Ga1 Ga 0.250 0.250 0.250
W1 W 0.000 0.000 0.500

***

# Be2V2CrRu5 | the Alexandria database | PBE | relaxed
# * D(E_F): 10.986 states/eV/cell
# * DFT total energy: -8.31 eV/atom
# * formation energy from the elements: -1.5 eV/f.u.
# * total magnetic moment: 0.000 μB/atom
data_Be2V2CrRu5
_chemical_formula_sum 'Be4 V4 Cr2 Ru10'
_cell_length_a 9.141
_cell_length_b 9.141
_cell_length_c 3.004
_cell_angle_alpha 90.00
_cell_angle_beta 90.00
_cell_angle_gamma 90.00
_space_group_name_H-M_alt 'P 4/m b m'
_space_group_IT_number 127
_space_group_name_Hall '-P 4 2ab'
loop_
_atom_site_label
_atom_site_type_symbol
_atom_site_fract_x
_atom_site_fract_y
_atom_site_fract_z
Be1 Be 0.124 0.376 0.000
V1 V 0.174 0.674 0.000
Cr1 Cr 0.000 0.000 0.000
Ru1 Ru 0.000 0.500 0.500
Ru2 Ru 0.078 0.202 0.500

***

# TaNiPb2 | the Alexandria database | PBE | relaxed
# * D(E_F): 15.832 states/eV/cell
# * energy relative to the lowest polymorph listed for this composition: 0.605 eV/atom
# * DFT total energy: -5.49 eV/atom
# * formation energy from the elements: 3.1 eV/f.u.
# * total magnetic moment: 0.000 μB/atom
data_TaNiPb2
_chemical_formula_sum 'Ta4 Ni4 Pb8'
_cell_length_a 7.506
_cell_length_b 7.506
_cell_length_c 6.074
_cell_angle_alpha 90.00
_cell_angle_beta 90.00
_cell_angle_gamma 90.00
_space_group_name_H-M_alt 'I -4 2 d'
_space_group_IT_number 122
_space_group_name_Hall 'I -4 2bw'
loop_
_atom_site_label
_atom_site_type_symbol
_atom_site_fract_x
_atom_site_fract_y
_atom_site_fract_z
Ta1 Ta 0.000 0.000 0.000
Ni1 Ni 0.000 0.000 0.500
Pb1 Pb 0.210 0.250 0.625

***

- Which of these has the highest total magnetic moment?
  VGa2W

***

- The highest DFT total energy belongs to which entry?
  Mg2NiHgH

***

- Look up the D(E_F) of the first one.
  2.307 states/eV/cell